## BeIrAuO (PBE)

Data for a relaxed BeIrAuO crystal.

Results
The calculation puts the energy above the most stable polymorph in this dataset at 753 meV per atom. As for the symmetry: Cm. For the formation energy without anion corrections, the calculation gives -129 meV per atom. The value obtained for the total magnetic moment is 0.00 μB/f.u.

Cell and atoms, written as extended XYZ:
```
8
Lattice="-1.978 -3.761 -3.223 -1.429 -1.852 3.037 -3.889 5.805 1.710" Properties=species:S:1:pos:R:3 pbc="T T T"
Be -1.669 2.068 0.476
Be -4.328 4.045 2.849
Ir -1.867 -3.048 -2.737
Ir -4.526 -1.072 -0.363
Au -1.032 -1.085 -1.147
Au -3.691 0.891 1.226
O -3.721 -0.311 -1.940
O -2.491 -4.139 -1.277
```


## YTm2ScS4 (PBE)

Data for a relaxed YTm2ScS4 crystal.

Results
As for the symmetry: P2/m. For the formation energy without anion corrections, the calculation gives -1919 meV per atom. The value obtained for the total magnetic moment is 0.00 μB/f.u.

Cell and atoms, written as extended XYZ:
```
8
Lattice="3.803 0.000 0.000 0.000 6.634 -0.145 0.000 2.323 6.244" Properties=species:S:1:pos:R:3 pbc="T T T"
Y 1.902 3.317 -0.073
Tm 0.000 2.323 6.244
Tm 1.902 1.161 3.122
Sc 0.000 4.478 3.049
S 0.000 6.710 4.525
S 3.803 2.247 1.573
S 1.902 5.550 1.505
S 1.902 3.406 4.594
```


## RbMn2BiP (PBE)

Data for a relaxed RbMn2BiP crystal.

Results
The calculation puts the energy of formation at 2.2767 eV per atom. As for the symmetry: P4/mmm. The value obtained for the total magnetic moment is 7.67 μB/f.u.

Cell and atoms, written as extended XYZ:
```
5
Lattice="5.020 0.000 0.000 0.000 6.155 0.000 0.000 0.000 5.020" Properties=species:S:1:pos:R:3 pbc="T T T"
P 2.510 3.078 2.510
Mn 0.000 0.000 2.510
Mn 2.510 0.000 0.000
Bi 0.000 3.078 0.000
Rb 0.000 0.000 0.000
```


## RbNa2CdSb (PBE)

Data for a relaxed RbNa2CdSb crystal.

Results
As for the symmetry: P4/mmm. For the formation energy without anion corrections, the calculation gives -126 meV per atom. The value obtained for the total magnetic moment is 0.00 μB/f.u.

Cell and atoms, written as extended XYZ:
```
5
Lattice="-0.222 1.347 -5.810 1.922 -5.488 -1.346 -5.678 -1.932 -0.231" Properties=species:S:1:pos:R:3 pbc="T T T"
Sb 0.000 0.000 0.000
Na 0.961 -2.744 -0.673
Na -0.111 0.673 -2.905
Rb -1.989 -3.036 -3.693
Cd -2.839 -0.966 -0.115
```


## RbSi3S (PBE)

Data for a relaxed RbSi3S crystal.

Results
The calculation puts the energy above the most stable polymorph in this dataset at 1737 meV per atom. As for the symmetry: Pm-3m. For the formation energy without anion corrections, the calculation gives 2505 meV per atom. The value obtained for the total magnetic moment is 1.88 μB/f.u.

Cell and atoms, written as extended XYZ:
```
5
Lattice="-3.115 -4.605 1.087 1.921 -0.041 5.329 -4.324 3.299 1.584" Properties=species:S:1:pos:R:3 pbc="T T T"
S -2.759 -0.673 4.000
Si 0.961 -0.021 2.665
Si -2.162 1.650 0.792
Si -1.558 -2.302 0.544
Rb 0.000 0.000 0.000
```


## CaTaTe2 (PBE)

Data for a relaxed CaTaTe2 crystal.

Results
The calculation puts the energy above the most stable polymorph in this dataset at 270 meV per atom. As for the symmetry: Immm. For the formation energy without anion corrections, the calculation gives -204 meV per atom. The value obtained for the total magnetic moment is 0.00 μB/f.u.

Cell and atoms, written as extended XYZ:
```
4
Lattice="6.022 -0.021 0.004 1.655 5.790 -0.004 -2.849 -4.202 3.239" Properties=species:S:1:pos:R:3 pbc="T T T"
Ca 1.323 2.236 1.618
Te 7.349 5.522 0.000
Te 4.167 3.131 0.000
Ta 3.506 -0.669 1.622
```


## Sr2CaAs (PBE)

Data for a relaxed Sr2CaAs crystal.

Results
The calculation puts the energy of formation at -0.5781 eV per atom. As for the symmetry: Imm2. The value obtained for the total magnetic moment is 0.00 μB/f.u.

Cell and atoms, written as extended XYZ:
```
4
Lattice="-5.541 5.278 -1.485 -3.754 1.423 -6.682 2.132 -4.903 5.673" Properties=species:S:1:pos:R:3 pbc="T T T"
Sr -9.273 6.685 -8.148
Sr -3.314 1.348 0.680
As -4.597 3.314 -4.039
Ca -3.921 0.502 -3.237
```


## K2LiAg2 (PBE)

Data for a relaxed K2LiAg2 crystal.

Results
The calculation puts the energy above the most stable polymorph in this dataset at 158 meV per atom. The calculation puts the energy of formation at 0.2253 eV per atom. As for the symmetry: P4/mbm. The value obtained for the total magnetic moment is 0.00 μB/f.u.

Cell and atoms, written as extended XYZ:
```
10
Lattice="-0.525 -2.336 -9.321 9.572 0.700 -0.714 0.324 -3.543 0.870" Properties=species:S:1:pos:R:3 pbc="T T T"
K 8.060 -0.243 -3.989
K 5.655 -1.567 -8.490
K 0.987 -1.394 -6.046
K 3.392 -0.069 -1.545
Ag 6.416 -1.687 -1.551
Ag 7.833 -2.733 -6.337
Ag 2.955 -3.492 -7.615
Ag 1.538 -2.447 -2.829
Li 0.000 0.000 0.000
Li 4.524 -0.818 -5.018
```


Which value of total magnetic moment does entry 8 give?
0.00 μB/f.u.


Look up the total magnetic moment of the first one.
0.00 μB/f.u.


What did the seventh record say?
## Sr2CaAs (PBE)

Data for a relaxed Sr2CaAs crystal.

Results
The calculation puts the energy of formation at -0.5781 eV per atom. As for the symmetry: Imm2. The value obtained for the total magnetic moment is 0.00 μB/f.u.

Cell and atoms, written as extended XYZ:
```
4
Lattice="-5.541 5.278 -1.485 -3.754 1.423 -6.682 2.132 -4.903 5.673" Properties=species:S:1:pos:R:3 pbc="T T T"
Sr -9.273 6.685 -8.148
Sr -3.314 1.348 0.680
As -4.597 3.314 -4.039
Ca -3.921 0.502 -3.237
```